(w)
The following is a DFT calculation (GGA-PBE) of a geometry-optimized YAg3Sn structure.

- Space group: Pm-3m, No. 221
- DOS(E_F): 4.69 states/eV/cell

```
YAg3Sn
1.0
-2.309 4.037 -2.782
1.398 -2.405 -4.651
-4.699 -2.699 -0.017
Y Sn Ag
1 1 3
Direct
0.000 0.000 0.000
0.500 0.500 0.500
0.000 0.500 0.000
0.000 0.000 0.500
0.500 0.000 0.000
```

(x)
The following is a DFT calculation (GGA-PBE) of a geometry-optimized YAg3Sn structure.

- Space group: Pm-3m, No. 221
- DOS(E_F): 4.17 states/eV/cell

```
YAg3Sn
1.0
-3.617 -0.692 3.549
0.045 -5.028 -0.934
3.616 -0.629 3.562
Y Sn Ag
1 1 3
Direct
0.500 0.500 0.500
0.000 0.000 0.000
0.000 0.500 0.000
0.000 0.000 0.500
0.500 0.000 0.000
```

Stability check: which of them is most stable? (x).

(w)
The following is a DFT calculation (GGA-PBE) of a geometry-optimized YAgSn2 structure.

- Space group: Fm-3m, No. 225
- DOS(E_F): 2.43 states/eV/cell

```
YAgSn2
1.0
4.290 0.520 2.881
0.645 4.219 2.960
-0.282 -0.389 5.172
Y Sn Ag
1 2 1
Direct
0.000 0.000 0.000
0.250 0.250 0.250
0.750 0.750 0.750
0.500 0.500 0.500
```

(x)
The following is a DFT calculation (GGA-PBE) of a geometry-optimized YAgSn2 structure.

- Space group: I-42d, No. 122
- DOS(E_F): 2.87 states/eV/cell

```
YAgSn2
1.0
-3.957 -2.532 -0.267
2.455 -3.925 0.841
-2.178 -2.029 10.046
Y Sn Ag
2 4 2
Direct
0.500 0.500 0.000
0.250 0.750 0.500
0.669 0.125 0.250
0.081 0.625 0.250
0.375 0.331 0.750
0.875 0.919 0.750
0.000 0.000 0.000
0.750 0.250 0.500
```

(y)
The following is a DFT calculation (GGA-PBE) of a geometry-optimized YAgSn2 structure.

- Space group: R-3m, No. 166
- DOS(E_F): 2.47 states/eV/cell

```
YAgSn2
1.0
-0.374 -3.403 -0.253
1.911 -1.776 -2.232
7.964 -3.101 6.648
Y Sn Ag
1 2 1
Direct
0.000 0.000 0.000
0.097 0.097 0.708
0.903 0.903 0.292
0.500 0.500 0.500
```

Stability check: which of them is most stable? (w).

(w)
The following is a DFT calculation (GGA-PBE) of a geometry-optimized ZnAg6Sn structure.

- Space group: Amm2, No. 38
- DOS(E_F): 1.89 states/eV/cell

```
ZnAg6Sn
1.0
-3.946 1.405 0.459
-0.943 0.067 -8.319
-0.904 -3.937 4.284
Zn Ag Sn
1 6 1
Direct
0.000 0.889 0.779
0.000 0.877 0.247
0.000 0.370 0.247
0.000 0.371 0.742
0.500 0.629 0.746
0.500 0.116 0.746
0.500 0.124 0.248
0.500 0.623 0.246
```

(x)
The following is a DFT calculation (GGA-PBE) of a geometry-optimized ZnAg6Sn structure.

- Space group: P-1, No. 2
- DOS(E_F): 2.08 states/eV/cell

```
ZnAg6Sn
1.0
7.219 0.307 -0.045
3.866 6.782 -0.019
3.593 2.398 3.155
Zn Ag Sn
1 6 1
Direct
0.500 0.500 0.500
0.945 0.461 0.844
0.748 0.930 0.778
0.465 0.253 0.342
0.252 0.070 0.222
0.055 0.539 0.156
0.535 0.747 0.658
0.000 0.000 0.000
```

Stability check: which of them is most stable? (w).

(w)
The following is a DFT calculation (GGA-PBE) of a geometry-optimized Zn2Ag8Sn structure.

- Space group: P-1, No. 2
- DOS(E_F): 2.49 states/eV/cell

```
Zn2Ag8Sn
1.0
-2.179 -2.965 2.837
2.980 -4.399 -2.247
11.494 4.454 -1.652
Zn Ag Sn
2 8 1
Direct
0.558 0.742 0.530
0.442 0.258 0.470
0.907 0.747 0.202
0.203 0.734 0.854
0.288 0.073 0.644
0.712 0.927 0.356
0.797 0.266 0.146
0.093 0.253 0.798
0.568 0.452 0.282
0.432 0.548 0.718
0.000 0.000 0.000
```

(x)
The following is a DFT calculation (GGA-PBE) of a geometry-optimized Zn2Ag8Sn structure.

- Space group: C2/m, No. 12
- DOS(E_F): 3.99 states/eV/cell

```
Zn2Ag8Sn
1.0
4.765 1.009 0.000
1.648 7.459 0.000
0.824 3.729 6.075
Zn Ag Sn
2 8 1
Direct
0.000 0.310 0.379
0.000 0.690 0.621
0.887 0.087 0.239
0.887 0.326 0.761
0.316 0.402 0.000
0.500 0.769 0.461
0.500 0.231 0.539
0.684 0.598 0.000
0.113 0.674 0.239
0.113 0.913 0.761
0.500 0.000 0.000
```

Stability check: which of them is most stable? (w).

(w)
The following is a DFT calculation (GGA-PBE) of a geometry-optimized Zn3Ag6Sn structure.

- Space group: Cmc2_1, No. 36
- DOS(E_F): 3.85 states/eV/cell

```
Zn3Ag6Sn
1.0
-0.191 0.795 6.128
-5.717 -5.293 0.508
6.490 -4.274 0.757
Zn Ag Sn
6 12 2
Direct
0.423 0.996 0.741
0.923 0.741 0.996
0.352 0.498 0.502
0.852 0.502 0.498
0.923 0.004 0.259
0.423 0.259 0.004
0.112 0.758 0.698
0.612 0.698 0.758
0.298 0.563 0.959
0.798 0.959 0.563
0.307 0.943 0.057
0.592 0.311 0.689
0.092 0.689 0.311
0.807 0.057 0.943
0.298 0.041 0.437
0.798 0.437 0.041
0.112 0.302 0.242
0.612 0.242 0.302
0.069 0.282 0.718
0.569 0.718 0.282
```

(x)
The following is a DFT calculation (GGA-PBE) of a geometry-optimized Zn3Ag6Sn structure.

- Space group: P2_1/m, No. 11
- DOS(E_F): 5.53 states/eV/cell

```
Zn3Ag6Sn
1.0
-3.253 1.275 2.149
-3.015 -8.500 0.481
6.694 2.857 8.437
Zn Ag Sn
6 12 2
Direct
0.750 0.400 0.874
0.250 0.600 0.126
0.750 0.671 0.537
0.250 0.329 0.463
0.750 0.090 0.006
0.250 0.910 0.994
0.750 0.451 0.640
0.250 0.549 0.360
0.750 0.741 0.052
0.250 0.259 0.948
0.750 0.421 0.146
0.250 0.579 0.854
0.750 0.760 0.320
0.250 0.240 0.680
0.750 0.112 0.477
0.250 0.888 0.523
0.750 0.782 0.809
0.250 0.218 0.191
0.750 0.035 0.725
0.250 0.965 0.275
```

Stability check: which of them is most stable? (w).

(w)
The following is a DFT calculation (GGA-PBE) of a geometry-optimized Sr3TaAg structure.

- Space group: Pm-3m, No. 221
- DOS(E_F): 4.66 states/eV/cell

```
Sr3TaAg
1.0
-0.524 4.598 3.663
-5.786 -1.052 0.493
1.037 -3.547 4.601
Sr Ag Ta
3 1 1
Direct
0.000 0.500 0.000
0.000 0.000 0.500
0.500 0.000 0.000
0.500 0.500 0.500
0.000 0.000 0.000
```

(x)
The following is a DFT calculation (GGA-PBE) of a geometry-optimized Sr3TaAg structure.

- Space group: Pm-3m, No. 221
- DOS(E_F): 3.72 states/eV/cell

```
Sr3TaAg
1.0
-4.173 -3.789 1.872
3.336 -1.338 4.728
-2.595 4.374 3.068
Sr Ag Ta
3 1 1
Direct
0.000 0.500 0.000
0.000 0.000 0.500
0.500 0.000 0.000
0.000 0.000 0.000
0.500 0.500 0.500
```

Stability check: which of them is most stable? (x).

(w)
The following is a DFT calculation (GGA-PBE) of a geometry-optimized SrTaAg2 structure.

- Space group: C2/m, No. 12
- DOS(E_F): 2.57 states/eV/cell

```
SrTaAg2
1.0
4.893 -0.002 0.003
3.961 2.874 0.003
0.845 0.274 6.715
Ag Sr Ta
2 1 1
Direct
0.006 0.006 0.935
0.494 0.494 0.565
0.250 0.250 0.250
0.750 0.750 0.750
```

(x)
The following is a DFT calculation (GGA-PBE) of a geometry-optimized SrTaAg2 structure.

- Space group: Pmm2, No. 25
- DOS(E_F): 2.85 states/eV/cell

```
SrTaAg2
1.0
5.141 0.000 0.000
0.000 3.054 -0.223
0.000 0.397 5.495
Ag Sr Ta
2 1 1
Direct
0.000 0.125 0.931
0.500 0.125 0.296
0.000 0.626 0.430
0.500 0.624 0.842
```

(y)
The following is a DFT calculation (GGA-PBE) of a geometry-optimized SrTaAg2 structure.

- Space group: Fm-3m, No. 225
- DOS(E_F): 3.28 states/eV/cell

```
SrTaAg2
1.0
-3.957 -3.154 -0.096
-4.303 1.406 -2.265
-1.397 -2.175 -4.351
Sr Ag Ta
1 2 1
Direct
0.000 0.000 0.000
0.250 0.250 0.250
0.750 0.750 0.750
0.500 0.500 0.500
```

Stability check: which of them is most stable? (x).

(w)
The following is a DFT calculation (GGA-PBE) of a geometry-optimized SrTaAg2 structure.

- Space group: I-4m2, No. 119
- DOS(E_F): 5.42 states/eV/cell

```
SrTaAg2
1.0
-2.829 -5.064 -0.607
2.883 -4.938 1.149
-0.907 5.151 2.581
Ag Sr Ta
2 1 1
Direct
0.000 0.000 0.000
0.250 0.750 0.500
0.500 0.500 0.000
0.750 0.250 0.500
```

(x)
The following is a DFT calculation (GGA-PBE) of a geometry-optimized SrTaAg2 structure.

- Space group: I-42d, No. 122
- DOS(E_F): 11.74 states/eV/cell

```
SrTaAg2
1.0
-1.920 6.311 4.451
-5.027 -4.503 4.216
-1.053 0.163 6.428
Sr Ag Ta
2 4 2
Direct
0.500 0.500 0.000
0.250 0.750 0.500
0.672 0.125 0.250
0.078 0.625 0.250
0.375 0.328 0.750
0.875 0.922 0.750
0.000 0.000 0.000
0.750 0.250 0.500
```

(y)
The following is a DFT calculation (GGA-PBE) of a geometry-optimized SrTaAg2 structure.

- Space group: P4mm, No. 99
- DOS(E_F): 4.11 states/eV/cell

```
SrTaAg2
1.0
3.395 0.000 0.000
0.000 3.391 0.000
0.000 0.000 7.897
Ag Sr Ta
2 1 1
Direct
0.000 0.000 0.002
0.500 0.500 0.200
0.000 0.000 0.494
0.500 0.500 0.804
```

(z)
The following is a DFT calculation (GGA-PBE) of a geometry-optimized SrTaAg2 structure.

- Space group: Imm2, No. 44
- DOS(E_F): 3.32 states/eV/cell

```
SrTaAg2
1.0
6.325 -0.010 0.003
3.405 5.329 -0.003
-4.128 -4.007 2.627
Ag Sr Ta
2 1 1
Direct
0.996 0.996 0.000
0.775 0.275 0.500
0.508 0.508 0.000
0.222 0.722 0.500
```

Stability check: which of them is most stable? (y).

(w)
The following is a DFT calculation (GGA-PBE) of a geometry-optimized SrTaAg2 structure.

- Space group: R-3m, No. 166
- DOS(E_F): 4.56 states/eV/cell

```
SrTaAg2
1.0
10.332 0.003 0.001
9.854 3.108 0.001
9.854 1.518 2.712
Ag Sr Ta
2 1 1
Direct
0.007 0.007 0.007
0.493 0.493 0.493
0.250 0.250 0.250
0.750 0.750 0.750
```

(x)
The following is a DFT calculation (GGA-PBE) of a geometry-optimized SrTaAg2 structure.

- Space group: Immm, No. 71
- DOS(E_F): 3.91 states/eV/cell

```
SrTaAg2
1.0
-4.210 2.927 -2.707
-1.178 -2.214 -5.228
0.078 -1.236 5.665
Ag Sr Ta
2 1 1
Direct
0.029 0.029 0.000
0.471 0.471 0.000
0.750 0.250 0.500
0.250 0.750 0.500
```

(y)
The following is a DFT calculation (GGA-PBE) of a geometry-optimized SrTaAg2 structure.

- Space group: Cm, No. 8
- DOS(E_F): 2.68 states/eV/cell

```
SrTaAg2
1.0
5.791 0.019 0.017
5.018 2.890 0.017
1.396 0.376 5.221
Ag Sr Ta
2 1 1
Direct
0.982 0.982 0.948
0.274 0.274 0.289
0.516 0.516 0.439
0.728 0.728 0.824
```

Stability check: which of them is most stable? (y).

(w)
The following is a DFT calculation (GGA-PBE) of a geometry-optimized SrTaAg2 structure.

- Space group: F-43m, No. 216
- DOS(E_F): 5.46 states/eV/cell

```
SrTaAg2
1.0
4.994 0.000 0.000
2.497 4.325 0.000
2.497 1.442 4.078
Ag Sr Ta
2 1 1
Direct
0.000 0.000 0.000
0.250 0.250 0.250
0.500 0.500 0.500
0.750 0.750 0.750
```

(x)
The following is a DFT calculation (GGA-PBE) of a geometry-optimized SrTaAg2 structure.

- Space group: P4/mmm, No. 123
- DOS(E_F): 3.24 states/eV/cell

```
SrTaAg2
1.0
3.399 -0.003 0.000
0.002 3.399 0.000
0.000 0.000 7.746
Ag Sr Ta
2 1 1
Direct
0.000 0.000 0.954
0.000 0.000 0.546
0.500 0.500 0.250
0.500 0.500 0.750
```

Stability check: which of them is most stable? (x).

(w)
The following is a DFT calculation (GGA-PBE) of a geometry-optimized SrTb2Ag structure.

- Space group: P4/mmm, No. 123
- DOS(E_F): 5.37 states/eV/cell

```
SrTb2Ag
1.0
-3.608 0.533 0.570
-0.074 -2.917 2.261
2.040 5.774 7.514
Sr Tb Ag
1 2 1
Direct
0.500 0.500 0.500
0.000 0.000 0.818
0.000 0.000 0.182
0.500 0.500 0.000
```

(x)
The following is a DFT calculation (GGA-PBE) of a geometry-optimized SrTb2Ag structure.

- Space group: R-3m, No. 166
- DOS(E_F): 5.14 states/eV/cell

```
SrTb2Ag
1.0
-1.529 -3.380 0.065
1.707 -2.774 1.776
-5.526 0.658 10.213
Sr Tb Ag
1 2 1
Direct
0.000 0.000 0.000
0.104 0.104 0.689
0.896 0.896 0.311
0.500 0.500 0.500
```

Stability check: which of them is most stable? (w).